# 1
An optimized crystal structure of EuYCuPd, computed with PBE-GGA.

The structure in POSCAR format:
```
EuYCuPd
1.0
7.123 0.000 0.000
0.000 7.123 0.000
0.000 0.000 7.123
Eu Y Cu Pd
4 4 4 4
Direct
0.000 0.000 0.000
0.000 0.500 0.500
0.500 0.000 0.500
0.500 0.500 0.000
0.000 0.000 0.500
0.000 0.500 0.000
0.500 0.000 0.000
0.500 0.500 0.500
0.250 0.250 0.750
0.250 0.750 0.250
0.750 0.250 0.250
0.750 0.750 0.750
0.250 0.250 0.250
0.250 0.750 0.750
0.750 0.250 0.750
0.750 0.750 0.250
```

DFT total energy (eV per cell): -110.9
Calculated volume (Å³ per cell): 361
Spin magnetization (μB/f.u.): 7.06
Crystal system: cubic
Energy relative to the elements (eV/atom): -0.427

# 2
An optimized crystal structure of TiNbCoBr, computed with PBE-GGA.

The structure in POSCAR format:
```
TiNbCoBr
1.0
9.546 0.000 0.000
0.000 3.100 0.000
-3.055 0.000 4.486
Ti Nb Co Br
2 2 2 2
Direct
0.000 0.000 0.000
0.500 0.500 0.000
0.127 0.500 0.648
0.627 0.000 0.648
0.328 0.000 0.077
0.828 0.500 0.077
0.307 0.000 0.492
0.807 0.500 0.492
```

DFT total energy (eV per cell): -52.4
Calculated volume (Å³ per cell): 133
Uncorrected formation energy (eV per atom): 0.14
Spin magnetization (μB/f.u.): 0.00
Crystal system: monoclinic

# 3
An optimized crystal structure of Nb8Ga6Pt, computed with PBE-GGA.

The structure in POSCAR format:
```
Nb8Ga6Pt
1.0
3.786 2.186 5.541
-3.786 2.186 5.541
0.000 -4.372 5.541
Nb Ga Pt
8 6 1
Direct
0.007 0.269 0.567
0.167 0.167 0.167
0.269 0.567 0.007
0.433 0.993 0.731
0.567 0.007 0.269
0.731 0.433 0.993
0.833 0.833 0.833
0.993 0.731 0.433
0.152 0.415 0.761
0.239 0.848 0.585
0.415 0.761 0.152
0.585 0.239 0.848
0.761 0.152 0.415
0.848 0.585 0.239
0.500 0.500 0.500
```

DFT total energy (eV per cell): -104.5
Calculated volume (Å³ per cell): 275
Spin magnetization (μB/f.u.): 0.00
Crystal system: trigonal
Energy relative to the elements (eV/atom): 0.018

# 4
An optimized crystal structure of MnAsP2, computed with PBE-GGA.

The structure in POSCAR format:
```
MnAsP2
1.0
3.900 0.000 0.000
0.000 3.417 0.000
-0.112 0.000 5.132
Mn As P
1 1 2
Direct
0.000 0.000 0.000
0.501 0.500 0.998
0.015 0.000 0.500
0.392 0.500 0.528
```

DFT total energy (eV per cell): -24.6
Calculated volume (Å³ per cell): 68
Spin magnetization (μB/f.u.): 3.78
Crystal system: monoclinic
Energy relative to the elements (eV/atom): 0.007

# 5
An optimized crystal structure of YMnRu2, computed with PBE-GGA.

The structure in POSCAR format:
```
YMnRu2
1.0
3.980 0.000 0.000
0.000 3.980 0.000
0.000 0.000 8.543
Y Mn Ru
2 2 4
Direct
0.000 0.000 0.000
0.500 0.500 0.500
0.000 0.500 0.750
0.500 0.000 0.250
0.000 0.000 0.500
0.000 0.500 0.250
0.500 0.000 0.750
0.500 0.500 0.000
```

DFT total energy (eV per cell): -66.8
Calculated volume (Å³ per cell): 135
Spin magnetization (μB/f.u.): 3.01
Crystal system: tetragonal
Energy relative to the elements (eV/atom): 0.196

# 6
An optimized crystal structure of La2YInIr, computed with PBE-GGA.

The structure in POSCAR format:
```
La2YInIr
1.0
5.519 0.000 0.000
0.000 5.519 0.000
0.000 0.000 5.521
La Y In Ir
2 1 1 1
Direct
0.000 0.500 0.000
0.500 0.000 0.000
0.000 0.000 0.500
0.500 0.500 0.500
0.000 0.000 0.000
```

DFT total energy (eV per cell): -30.1
Calculated volume (Å³ per cell): 168
Spin magnetization (μB/f.u.): 0.00
Crystal system: tetragonal
Energy relative to the elements (eV/atom): -0.435

# 7
An optimized crystal structure of RbInBr2Cl, computed with PBE-GGA.

The structure in POSCAR format:
```
RbInBr2Cl
1.0
5.723 0.000 0.000
0.000 5.723 0.000
0.000 0.000 5.465
Rb In Br Cl
1 1 2 1
Direct
0.000 0.000 0.000
0.500 0.500 0.500
0.000 0.500 0.500
0.500 0.000 0.500
0.500 0.500 0.000
```

DFT total energy (eV per cell): -15.0
Calculated volume (Å³ per cell): 179
Uncorrected formation energy (eV per atom): -1.22
Spin magnetization (μB/f.u.): 0.00
Crystal system: tetragonal

# 8
An optimized crystal structure of K2PtPb, computed with PBE-GGA.

The structure in POSCAR format:
```
K2PtPb
1.0
4.512 0.000 0.000
0.000 4.512 0.000
0.000 0.000 11.025
K Pt Pb
4 2 2
Direct
0.000 0.500 0.250
0.000 0.500 0.750
0.500 0.000 0.250
0.500 0.000 0.750
0.000 0.000 0.000
0.500 0.500 0.500
0.000 0.000 0.500
0.500 0.500 0.000
```

DFT total energy (eV per cell): -23.1
Calculated volume (Å³ per cell): 224
Spin magnetization (μB/f.u.): 0.47
Crystal system: tetragonal
Energy relative to the elements (eV/atom): 0.093

# 9
An optimized crystal structure of LaCuO3, computed with PBE-GGA.

The structure in POSCAR format:
```
LaCuO3
1.0
4.355 0.000 0.000
0.000 4.355 0.000
0.000 0.000 4.355
La Cu O
1 1 3
Direct
0.000 0.000 0.000
0.500 0.500 0.500
0.000 0.000 0.500
0.000 0.500 0.000
0.500 0.000 0.000
```

DFT total energy (eV per cell): -27.7
Calculated volume (Å³ per cell): 83
Uncorrected formation energy (eV per atom): -0.77
Spin magnetization (μB/f.u.): 0.00
Crystal system: cubic

# 10
An optimized crystal structure of Ac8Te4Ir3Pt, computed with PBE-GGA.

The structure in POSCAR format:
```
Ac8Te4Ir3Pt
1.0
4.443 2.565 7.947
-4.443 2.565 7.947
0.000 -5.131 7.947
Ac Te Ir Pt
8 4 3 1
Direct
0.230 0.740 0.740
0.236 0.236 0.236
0.260 0.260 0.770
0.260 0.770 0.260
0.740 0.230 0.740
0.740 0.740 0.230
0.764 0.764 0.764
0.770 0.260 0.260
0.000 0.000 0.000
0.000 0.500 0.500
0.500 0.000 0.500
0.500 0.500 0.000
0.000 0.000 0.500
0.000 0.500 0.000
0.500 0.000 0.000
0.500 0.500 0.500
```

DFT total energy (eV per cell): -96.8
Calculated volume (Å³ per cell): 544
Uncorrected formation energy (eV per atom): -1.17
Spin magnetization (μB/f.u.): 0.00
Crystal system: trigonal

# 11
An optimized crystal structure of NaTeH6O6F, computed with PBE-GGA.

The structure in POSCAR format:
```
NaTeH6O6F
1.0
3.059 1.766 4.494
-3.059 1.766 4.494
0.000 -3.532 4.494
Na Te H O F
1 1 6 6 1
Direct
0.000 0.000 0.000
0.625 0.625 0.625
0.076 0.638 0.575
0.242 0.421 0.944
0.421 0.944 0.242
0.575 0.076 0.638
0.638 0.575 0.076
0.944 0.242 0.421
0.258 0.590 0.778
0.444 0.976 0.690
0.590 0.778 0.258
0.690 0.444 0.976
0.778 0.258 0.590
0.976 0.690 0.444
0.181 0.181 0.181
```

DFT total energy (eV per cell): -74.8
Calculated volume (Å³ per cell): 146
Spin magnetization (μB/f.u.): 0.00
Crystal system: trigonal

# 12
An optimized crystal structure of Pm2MgZn2Pt5, computed with PBE-GGA.

The structure in POSCAR format:
```
Pm2MgZn2Pt5
1.0
9.762 0.000 0.000
0.000 9.762 0.000
0.000 0.000 3.845
Pm Mg Zn Pt
4 2 4 10
Direct
0.177 0.323 0.000
0.323 0.823 0.000
0.677 0.177 0.000
0.823 0.677 0.000
0.000 0.000 0.000
0.500 0.500 0.000
0.121 0.621 0.000
0.379 0.121 0.000
0.621 0.879 0.000
0.879 0.379 0.000
0.000 0.500 0.500
0.065 0.794 0.500
0.206 0.065 0.500
0.294 0.565 0.500
0.435 0.294 0.500
0.500 0.000 0.500
0.565 0.706 0.500
0.706 0.435 0.500
0.794 0.935 0.500
0.935 0.206 0.500
```

DFT total energy (eV per cell): -104.3
Calculated volume (Å³ per cell): 366
Spin magnetization (μB/f.u.): 0.00
Crystal system: tetragonal
Energy relative to the elements (eV/atom): -0.829